1.
This record from the Alexandria database describes Dy3AgSb after structural relaxation. The functional is PBE-GGA.

a = 6.3656 Å, b = 5.3068 Å, c = 8.7379 Å
α = 90.00°, β = 90.00°, γ = 90.00°
Closest atoms and distances in Å follow each position.
Fractional positions:
Dy1 0.0000 0.0000 0.0000  2 Ag 3.17, 4 Dy 3.18-3.50, 4 Sb 3.33
Dy2 0.2500 0.0000 0.3566  3 Ag 2.88-3.20
Dy3 0.2500 0.5000 0.7666  2 Ag 2.74
Dy4 0.5000 0.0000 0.0000  2 Ag 3.17, 4 Dy 3.18-3.50, 4 Sb 3.33
Dy5 0.7500 0.0000 0.6434  3 Ag 2.88-3.20
Dy6 0.7500 0.5000 0.2334  2 Ag 2.74
Ag1 0.2500 0.0000 0.6861  3 Dy 2.74-2.88
Ag2 0.7500 0.0000 0.3139  3 Dy 2.74-2.88
Sb1 0.2500 0.5000 0.1418  9 Dy 3.25-3.33
Sb2 0.7500 0.5000 0.8582  9 Dy 3.25-3.33

* magnetization: 0.0 Bohr magnetons per cell
* space-group type: Pmma, No. 51
* formation energy without anion corrections: -38.3 kJ/mol of atoms


2.
This record from the Alexandria database describes YThTl after structural relaxation. The functional is PBE-GGA.

a = 7.3701 Å, b = 7.3701 Å, c = 7.3701 Å
α = 151.36°, β = 151.36°, γ = 40.94°
Closest atoms and distances in Å follow each position.
Fractional positions:
Y1 0.0000 0.0000 0.0000  4 Tl 3.31, 4 Th 3.62, 4 Y 3.65
Th1 0.6845 0.6845 0.0000  4 Tl 3.44, 4 Y 3.62, 4 Th 3.65
Tl1 0.3498 0.3498 0.0000  4 Y 3.31, 4 Th 3.44, 4 Tl 3.65

* magnetization: 0.0 Bohr magnetons per cell
* DFT formation energy: -0.12 eV per atom
* space-group type: I4mm, No. 107
* energy relative to the lowest polymorph listed for this composition: 0.051 eV per atom


3.
This record from the Alexandria database describes TlCd11Hg after structural relaxation. The functional is PBE-GGA.

a = 7.8077 Å, b = 7.8077 Å, c = 7.7968 Å
α = 98.48°, β = 98.48°, γ = 134.21°
Closest atoms and distances in Å follow each position.
Fractional positions:
Tl1 0.0000 0.0000 0.0000  18 Cd 3.60-3.90, 2 Hg 3.93
Cd1 0.0000 0.0000 0.5000  8 Cd 3.01-3.13, 2 Hg 3.04
Cd2 0.0000 0.5000 0.0000  10 Cd 2.98-3.15
Cd3 0.0094 0.6545 0.6479  7 Cd 2.99-3.32, 1 Hg 3.19
Cd4 0.2869 0.5009 0.7867  8 Cd 2.98-3.32, 1 Hg 2.98
Cd5 0.3455 0.9906 0.3521  7 Cd 2.99-3.32, 1 Hg 3.19
Cd6 0.4991 0.7131 0.2133  8 Cd 2.98-3.32, 1 Hg 2.98
Cd7 0.5000 0.0000 0.0000  10 Cd 2.98-3.15
Cd8 0.5009 0.2869 0.7867  8 Cd 2.98-3.32, 1 Hg 2.98
Cd9 0.6545 0.0094 0.6479  7 Cd 2.99-3.32, 1 Hg 3.19
Cd10 0.7131 0.4991 0.2133  8 Cd 2.98-3.32, 1 Hg 2.98
Cd11 0.9906 0.3455 0.3521  7 Cd 2.99-3.32, 1 Hg 3.19
Hg1 0.5000 0.5000 0.5000  10 Cd 2.98-3.19

* magnetization: 0.0 Bohr magnetons per cell
* DFT formation energy: 0.03 eV per atom
* space-group type: C2/m, No. 12